A relaxed BaMgSb2 crystal, computed with GGA-PBE.

The density of states at the Fermi level is 2.694 states/eV/cell. As for the energy relative to the elements, uncorrected: -1.50 eV per formula unit. For the total moment, the calculation gives 0.000 μB per formula unit. The volume comes out at 248 Å³/cell. As for the density: 5.4 Mg/m³.

It has space group I-4m2 (No. 119), with a = 4.768 Å, b = 4.768 Å, c = 10.931 Å, α = 90.00°, β = 90.00° and γ = 90.00°. The inequivalent atoms are Ba at (0.000, 0.000, 0.000), Mg at (0.000, 0.500, 0.750), Sb at (0.000, 0.000, 0.500) and Sb at (0.000, 0.500, 0.250).